Record 1
First-principles (GGA-PBE) data for a geometry-optimized ScMo3P structure, as listed in Alexandria.

Results
DFT total energy = -43.041 eV/cell
Magnetization = 0.0000 μB per atom
Symmetry = Pm-3m, No. 221

abc: 4.5087 4.5087 4.5087
angles: 90.00 90.00 90.00
With the nearest neighbours (Å) after each atom.
Atoms (fractional coordinates):
Sc: 0.5000 0.5000 0.5000  12 Mo 3.19
P: 0.0000 0.0000 0.0000  6 Mo 2.25
Mo: 0.0000 0.5000 0.0000  2 P 2.25
Mo: 0.0000 0.0000 0.5000  2 P 2.25
Mo: 0.5000 0.0000 0.0000  2 P 2.25

Record 2
First-principles (GGA-PBE) data for a geometry-optimized Cd2CoTc structure, as listed in Alexandria.

Results
DFT total energy = -17.397 eV/cell
Magnetization = 0.4305 μB per atom
Symmetry = R-3m, No. 166

abc: 9.4981 9.4981 9.4981
angles: 17.25 17.25 17.25
With the nearest neighbours (Å) after each atom.
Atoms (fractional coordinates):
Cd: 0.9968 0.9968 0.9968  3 Co 2.79, 6 Cd 2.85, 3 Tc 2.93
Cd: 0.5032 0.5032 0.5032  3 Co 2.79, 6 Cd 2.85, 3 Tc 2.93
Co: 0.2500 0.2500 0.2500  6 Cd 2.79, 6 Co 2.85
Tc: 0.7500 0.7500 0.7500  6 Tc 2.85, 6 Cd 2.93

Record 3
First-principles (GGA-PBE) data for a geometry-optimized LiTl2Ag structure, as listed in Alexandria.

Results
DFT total energy = -9.705 eV/cell
Magnetization = 0.0000 μB per atom
Symmetry = P2/m, No. 10

abc: 3.6451 3.4491 7.7681
angles: 65.74 90.00 90.00
With the nearest neighbours (Å) after each atom.
Atoms (fractional coordinates):
Ag: 0.5000 0.2500 0.2500  8 Tl 3.07-3.11
Li: 0.5000 0.7500 0.7500  8 Tl 3.00-3.10
Tl: 0.0000 0.9965 0.9955  4 Li 3.00-3.10, 4 Ag 3.07-3.11
Tl: 0.0000 0.5035 0.5045  4 Li 3.00-3.10, 4 Ag 3.07-3.11

Record 4
First-principles (GGA-PBE) data for a geometry-optimized FeSb3 structure, as listed in Alexandria.

Results
DFT total energy = -20.476 eV/cell
Magnetization = 0.0000 μB per atom
Formation energy without anion corrections = 0.09 eV per atom
Symmetry = Cmmm, No. 65

abc: 4.0398 5.5491 5.5473
angles: 51.46 90.00 90.00
With the nearest neighbours (Å) after each atom.
Atoms (fractional coordinates):
Fe: 0.0000 0.0000 0.0000  6 Sb 2.41-2.61
Sb: 0.5000 0.8353 0.8354  2 Fe 2.61
Sb: 0.0000 0.5000 0.5000  2 Fe 2.41
Sb: 0.5000 0.1647 0.1646  2 Fe 2.61

Record 5
First-principles (GGA-PBE) data for a geometry-optimized Ti6ZnPd5 structure, as listed in Alexandria.

Results
DFT total energy = -80.181 eV/cell
Magnetization = 0.0009 μB per atom
Symmetry = Cmmm, No. 65

abc: 8.7947 3.9860 6.2943
angles: 71.57 81.74 63.06
With the nearest neighbours (Å) after each atom.
Atoms (fractional coordinates):
Ti: 0.7490 0.0841 0.3346  7 Pd 2.78-2.82, 1 Zn 2.80, 4 Ti 2.80-2.82
Ti: 0.2509 0.5821 0.3345  7 Pd 2.78-2.82, 4 Ti 2.80-2.82, 1 Zn 2.80
Ti: 0.2521 0.2479 0.0000  6 Pd 2.78, 2 Zn 2.81, 4 Ti 2.82
Ti: 0.7479 0.7521 0.0000  6 Pd 2.78, 2 Zn 2.81, 4 Ti 2.82
Ti: 0.7491 0.4179 0.6655  7 Pd 2.78-2.82, 4 Ti 2.80-2.82, 1 Zn 2.80
Ti: 0.2510 0.9159 0.6654  7 Pd 2.78-2.82, 1 Zn 2.80, 4 Ti 2.80-2.82
Zn: 0.0000 0.0000 0.0000  4 Pd 2.79, 8 Ti 2.80-2.81
Pd: 0.5000 0.1667 0.6661  8 Ti 2.78-2.79, 4 Pd 2.81-2.82
Pd: 0.9999 0.3368 0.3266  8 Ti 2.78-2.82, 2 Zn 2.79, 2 Pd 2.87-2.88
Pd: 0.5000 0.5000 0.0000  8 Ti 2.78-2.79, 4 Pd 2.82
Pd: 0.0001 0.6632 0.6734  8 Ti 2.78-2.82, 2 Zn 2.79, 2 Pd 2.87-2.88
Pd: 0.5000 0.8333 0.3339  8 Ti 2.78-2.79, 4 Pd 2.81-2.82

Record 6
First-principles (GGA-PBE) data for a geometry-optimized Na2Tl5Pb2 structure, as listed in Alexandria.

Results
DFT total energy = -43.423 eV/cell
Magnetization = 0.0000 μB per atom
Symmetry = Cmce, No. 64

abc: 8.3296 8.3315 9.1162
angles: 117.19 90.00 90.00
With the nearest neighbours (Å) after each atom.
Atoms (fractional coordinates):
Na: 0.6361 0.8640 0.0000  8 Tl 3.20-3.41, 1 Na 3.21
Na: 0.3639 0.1360 0.0000  8 Tl 3.20-3.41, 1 Na 3.21
Na: 0.1361 0.6360 0.0000  8 Tl 3.20-3.41, 1 Na 3.21
Na: 0.8639 0.3640 0.0000  8 Tl 3.20-3.41, 1 Na 3.21
Tl: 0.0000 0.0000 0.0000  4 Na 3.24, 2 Pb 3.38
Tl: 0.5000 0.5000 0.0000  4 Na 3.24, 2 Pb 3.38
Tl: 0.8292 0.8073 0.2759  3 Pb 3.19-3.31, 3 Na 3.20-3.41
Tl: 0.1708 0.4686 0.2759  3 Pb 3.19-3.31, 3 Na 3.20-3.41
Tl: 0.3292 0.9686 0.2759  3 Pb 3.19-3.31, 3 Na 3.20-3.41
Tl: 0.6708 0.3073 0.2759  3 Pb 3.19-3.31, 3 Na 3.20-3.41
Tl: 0.1708 0.1927 0.7241  3 Pb 3.19-3.31, 3 Na 3.20-3.41
Tl: 0.8292 0.5314 0.7241  3 Pb 3.19-3.31, 3 Na 3.20-3.41
Tl: 0.6708 0.0314 0.7241  3 Pb 3.19-3.31, 3 Na 3.20-3.41
Tl: 0.3292 0.6927 0.7241  3 Pb 3.19-3.31, 3 Na 3.20-3.41
Pb: 0.0000 0.2086 0.4173  7 Tl 3.19-3.38
Pb: 0.5000 0.7086 0.4173  7 Tl 3.19-3.38
Pb: 0.0000 0.7914 0.5827  7 Tl 3.19-3.38
Pb: 0.5000 0.2914 0.5827  7 Tl 3.19-3.38

Record 7
First-principles (GGA-PBE) data for a geometry-optimized YInCl2 structure, as listed in Alexandria.

Results
DFT total energy = -16.363 eV/cell
Magnetization = 0.0001 μB per atom
Formation energy without anion corrections = -0.87 eV per atom
Symmetry = P4/mmm, No. 123

abc: 4.6275 4.6275 4.5582
angles: 90.00 90.00 90.00
With the nearest neighbours (Å) after each atom.
Atoms (fractional coordinates):
Y: 0.0000 0.5000 0.5000  8 Cl 3.25, 4 In 3.27
Cl: 0.0000 0.0000 0.0000  4 Y 3.25, 4 In 3.25, 4 Cl 3.27
Cl: 0.5000 0.5000 0.0000  4 In 3.25, 4 Y 3.25, 4 Cl 3.27
In: 0.5000 0.0000 0.5000  8 Cl 3.25, 4 Y 3.27

Record 8
First-principles (GGA-PBE) data for a geometry-optimized Rh3PbCl structure, as listed in Alexandria.

Results
DFT total energy = -24.630 eV/cell
Magnetization = 0.0001 μB per atom
Formation energy without anion corrections = 0.60 eV per atom
Symmetry = Pm-3m, No. 221

abc: 4.5284 4.5284 4.5284
angles: 90.00 90.00 90.00
With the nearest neighbours (Å) after each atom.
Atoms (fractional coordinates):
Pb: 0.5000 0.5000 0.5000  12 Rh 3.20
Rh: 0.0000 0.5000 0.0000  2 Cl 2.26
Rh: 0.0000 0.0000 0.5000  2 Cl 2.26
Rh: 0.5000 0.0000 0.0000  2 Cl 2.26
Cl: 0.0000 0.0000 0.0000  6 Rh 2.26

Q: What is the DFT total energy in the eighth record?
A: -24.630 eV/cell